(1)
Below is a relaxed structure of RbScN2, with properties calculated at the PBE level.

polymorph energy (0 for the lowest one)	115	meV per atom
energy relative to the elements, uncorrected	0.084	eV/atom
calculated density	3.569	g/cm3

a = 7.4444 Å, b = 7.4444 Å, c = 7.4444 Å
α = 26.75°, β = 26.75°, γ = 26.75°
Fractional coordinates of all 4 atoms:
Rb 0.0000 0.0000 0.0000
Sc 0.5000 0.5000 0.5000
N 0.1206 0.1206 0.1206
N 0.8794 0.8794 0.8794


(2)
Below is a relaxed structure of ZrPaMnMo, with properties calculated at the PBE level.

calculated density	10.612	g/cm3
calculated formation energy	0.16	eV per formula unit

a = 4.7132 Å, b = 4.7132 Å, c = 4.7132 Å
α = 60.00°, β = 60.00°, γ = 60.00°
Fractional coordinates of all 4 atoms:
Zr 0.0000 0.0000 0.0000
Pa 0.5000 0.5000 0.5000
Mn 0.7500 0.7500 0.7500
Mo 0.2500 0.2500 0.2500


(3)
Below is a relaxed structure of CsMgCuHg2, with properties calculated at the PBE level.

calculated density	6.847	g/cm3
calculated formation energy	0.07	eV per formula unit

a = 5.3973 Å, b = 5.3973 Å, c = 5.1781 Å
α = 90.00°, β = 90.00°, γ = 90.00°
Fractional coordinates of all 5 atoms:
Cs 0.0000 0.0000 0.0000
Mg 0.5000 0.5000 0.0000
Cu 0.5000 0.5000 0.5000
Hg 0.0000 0.5000 0.5000
Hg 0.5000 0.0000 0.5000


(4)
Below is a relaxed structure of TbErAsS, with properties calculated at the PBE level.

energy relative to the elements, uncorrected	-1.776	eV/atom
calculated density	7.882	g/cm3

a = 4.0174 Å, b = 4.0174 Å, c = 5.6543 Å
α = 90.00°, β = 90.00°, γ = 90.00°
Fractional coordinates of all 4 atoms:
Tb 0.0000 0.0000 0.0000
Er 0.5000 0.5000 0.5000
As 0.5000 0.5000 0.0000
S 0.0000 0.0000 0.5000


(5)
Below is a relaxed structure of Sc8Se3S4, with properties calculated at the PBE level.

energy relative to the elements, uncorrected	-1.623	eV/atom
calculated density	4.037	g/cm3

a = 7.4991 Å, b = 7.4991 Å, c = 7.4877 Å
α = 119.92°, β = 119.92°, γ = 90.12°
Fractional coordinates of all 15 atoms:
Sc 0.2300 0.2300 0.4804
Sc 0.2326 0.2326 0.9827
Sc 0.2364 0.7636 0.0000
Sc 0.2401 0.7599 0.5000
Sc 0.7599 0.2401 0.5000
Sc 0.7636 0.2364 0.0000
Sc 0.7674 0.7674 0.0173
Sc 0.7700 0.7700 0.5196
Se 0.0000 0.5000 0.5000
Se 0.5000 0.0000 0.5000
Se 0.5000 0.5000 0.0000
S 0.0000 0.0000 0.0000
S 0.0000 0.0000 0.5000
S 0.0000 0.5000 0.0000
S 0.5000 0.0000 0.0000


(6)
Below is a relaxed structure of Ca2LaSe, with properties calculated at the PBE level.

energy relative to the elements, uncorrected	-0.612	eV/atom
calculated density	3.420	g/cm3

a = 7.5212 Å, b = 7.5212 Å, c = 7.5212 Å
α = 99.58°, β = 99.58°, γ = 131.84°
Fractional coordinates of all 8 atoms:
Ca 0.0278 0.6250 0.9028
Ca 0.3750 0.2778 0.4028
Ca 0.7222 0.1250 0.0972
Ca 0.8750 0.9722 0.5972
La 0.2500 0.7500 0.5000
La 0.5000 0.5000 0.0000
Se 0.0000 0.0000 0.0000
Se 0.7500 0.2500 0.5000


(7)
Below is a relaxed structure of NaAcPdSe, with properties calculated at the PBE level.

energy relative to the elements, uncorrected	-0.916	eV/atom
calculated density	7.092	g/cm3

a = 5.2434 Å, b = 5.2434 Å, c = 5.2434 Å
α = 60.00°, β = 60.00°, γ = 60.00°
Fractional coordinates of all 4 atoms:
Na 0.0000 0.0000 0.0000
Ac 0.5000 0.5000 0.5000
Pd 0.2500 0.2500 0.2500
Se 0.7500 0.7500 0.7500


(8)
Below is a relaxed structure of Se2BrO2, with properties calculated at the PBE level.

energy relative to the elements, uncorrected	-0.116	eV/atom
calculated density	3.825	g/cm3

a = 4.8681 Å, b = 4.8681 Å, c = 6.5393 Å
α = 96.34°, β = 96.34°, γ = 128.60°
Fractional coordinates of all 5 atoms:
Se 0.1745 0.1745 0.3582
Se 0.8255 0.8255 0.6418
Br 0.5000 0.5000 0.0000
O 0.3629 0.6371 0.5000
O 0.6371 0.3629 0.5000


(9)
Below is a relaxed structure of Be2SiNi4P, with properties calculated at the PBE level.

energy relative to the elements, uncorrected	-0.434	eV/atom
calculated density	6.475	g/cm3

a = 6.6643 Å, b = 6.6643 Å, c = 6.6643 Å
α = 33.43°, β = 33.43°, γ = 33.43°
Fractional coordinates of all 8 atoms:
Be 0.2458 0.2458 0.2458
Be 0.7542 0.7542 0.7542
Si 0.5000 0.5000 0.5000
Ni 0.1224 0.1224 0.1224
Ni 0.3735 0.3735 0.3735
Ni 0.6265 0.6265 0.6265
Ni 0.8776 0.8776 0.8776
P 0.0000 0.0000 0.0000


(10)
Below is a relaxed structure of Nd2TmCo, with properties calculated at the PBE level.

polymorph energy (0 for the lowest one)	178	meV per atom
calculated density	7.855	g/cm3
calculated formation energy	0.33	eV per formula unit

a = 3.5330 Å, b = 3.5330 Å, c = 8.7451 Å
α = 90.00°, β = 90.00°, γ = 90.00°
Fractional coordinates of all 4 atoms:
Nd 0.0000 0.0000 0.1942
Nd 0.0000 0.0000 0.8058
Tm 0.5000 0.5000 0.5000
Co 0.5000 0.5000 0.0000


(11)
Below is a relaxed structure of Ho3GaC, with properties calculated at the PBE level.

polymorph energy (0 for the lowest one)	0	meV per atom
calculated density	8.486	g/cm3
calculated formation energy	-2.36	eV per formula unit

a = 4.8319 Å, b = 4.8319 Å, c = 4.8319 Å
α = 90.00°, β = 90.00°, γ = 90.00°
Fractional coordinates of all 5 atoms:
Ho 0.0000 0.0000 0.5000
Ho 0.0000 0.5000 0.0000
Ho 0.5000 0.0000 0.0000
Ga 0.5000 0.5000 0.5000
C 0.0000 0.0000 0.0000


(12)
Below is a relaxed structure of Sr2CaBe, with properties calculated at the PBE level.

calculated density	2.259	g/cm3
calculated formation energy	1.79	eV per formula unit

a = 7.9014 Å, b = 7.9014 Å, c = 7.9014 Å
α = 99.06°, β = 99.06°, γ = 133.25°
Fractional coordinates of all 8 atoms:
Sr 0.0129 0.6250 0.8879
Sr 0.3750 0.2629 0.3879
Sr 0.7371 0.1250 0.1121
Sr 0.8750 0.9871 0.6121
Ca 0.2500 0.7500 0.5000
Ca 0.5000 0.5000 0.0000
Be 0.0000 0.0000 0.0000
Be 0.7500 0.2500 0.5000